No. 1
Density functional theory data (GGA-PBE) for a relaxed NaGa2B2O6 crystal.

Values from the calculation:
* energy relative to the elements, uncorrected: -1.9528 eV per atom
* mass density: 3.44 g/cm³
* total energy: -6.542 eV per atom
* V: 12.28 Å³/atom
* total moment: 0.0 μB per formula unit

Unit cell a=4.8641 b=4.8712 c=6.6813 alpha=89.28 beta=74.97 gamma=62.89
Sites, in units of the cell vectors:
Na (0.0000, 0.0000, 0.0000)
Ga (0.4887, 0.2275, 0.6239)
Ga (0.5113, 0.7725, 0.3761)
B (0.2044, 0.3849, 0.2659)
B (0.7956, 0.6151, 0.7341)
O (0.0528, 0.3633, 0.7706)
O (0.2424, 0.0886, 0.2424)
O (0.4392, 0.4238, 0.3329)
O (0.5608, 0.5762, 0.6671)
O (0.7576, 0.9114, 0.7576)
O (0.9472, 0.6367, 0.2294)

---

No. 2
Density functional theory data (GGA-PBE) for a relaxed Na3GaB2O6 crystal.

Values from the calculation:
* energy relative to the elements, uncorrected: -2.0469 eV per atom
* mass density: 3.11 g/cm³
* total energy: -6.221 eV per atom
* V: 11.42 Å³/atom
* total moment: 0.0 μB per formula unit

Unit cell a=5.1201 b=5.1201 c=6.0346 alpha=90.00 beta=90.00 gamma=120.00
Sites, in units of the cell vectors:
Na (0.0000, 0.0000, 0.0000)
Na (0.3333, 0.6667, 0.7417)
Na (0.6667, 0.3333, 0.2583)
Ga (0.0000, 0.0000, 0.5000)
B (0.3333, 0.6667, 0.2969)
B (0.6667, 0.3333, 0.7031)
O (0.1772, 0.3544, 0.2918)
O (0.1772, 0.8228, 0.2918)
O (0.3544, 0.1772, 0.7082)
O (0.6456, 0.8228, 0.2918)
O (0.8228, 0.1772, 0.7082)
O (0.8228, 0.6456, 0.7082)

---

No. 3
Density functional theory data (GGA-PBE) for a relaxed Na3GaB4O9 crystal.

Values from the calculation:
* energy relative to the elements, uncorrected: -2.2724 eV per atom
* mass density: 2.86 g/cm³
* total energy: -6.879 eV per atom
* V: 11.15 Å³/atom
* total moment: 0.0 μB per formula unit

Unit cell a=6.3093 b=8.8038 c=6.9065 alpha=90.00 beta=98.81 gamma=90.00
Sites, in units of the cell vectors:
Na (0.0794, 0.2500, 0.0068)
Na (0.2466, 0.5346, 0.3238)
Na (0.2466, 0.9654, 0.3238)
Na (0.7534, 0.0346, 0.6762)
Na (0.7534, 0.4654, 0.6762)
Na (0.9206, 0.7500, 0.9932)
Ga (0.2969, 0.2500, 0.6382)
Ga (0.7031, 0.7500, 0.3618)
B (0.2542, 0.5451, 0.7802)
B (0.2542, 0.9549, 0.7802)
B (0.3765, 0.7500, 0.0234)
B (0.4882, 0.2500, 0.2840)
B (0.5118, 0.7500, 0.7160)
B (0.6235, 0.2500, 0.9766)
B (0.7458, 0.0451, 0.2198)
B (0.7458, 0.4549, 0.2198)
O (0.1401, 0.0869, 0.7233)
O (0.1401, 0.4131, 0.7233)
O (0.2345, 0.6115, 0.9578)
O (0.2345, 0.8885, 0.9578)
O (0.2889, 0.2500, 0.3692)
O (0.3805, 0.6089, 0.6535)
O (0.3805, 0.8911, 0.6535)
O (0.4229, 0.7500, 0.2350)
O (0.4362, 0.2500, 0.0720)
O (0.5638, 0.7500, 0.9280)
O (0.5771, 0.2500, 0.7650)
O (0.6195, 0.1089, 0.3465)
O (0.6195, 0.3911, 0.3465)
O (0.7111, 0.7500, 0.6308)
O (0.7655, 0.1115, 0.0422)
O (0.7655, 0.3885, 0.0422)
O (0.8599, 0.5869, 0.2767)
O (0.8599, 0.9131, 0.2767)

---

No. 4
Density functional theory data (GGA-PBE) for a relaxed NaGaBPb2 crystal.

Values from the calculation:
* mass density: 6.95 g/cm³
* total energy: -3.183 eV per atom
* V: 24.76 Å³/atom
* energy of formation from the pure elements: 0.505 eV per atom
* total moment: 0.0 μB per formula unit

Unit cell a=5.1135 b=5.1135 c=4.7348 alpha=90.00 beta=90.00 gamma=90.00
Sites, in units of the cell vectors:
Na (0.0000, 0.0000, 0.0000)
Ga (0.5000, 0.5000, 0.0000)
B (0.5000, 0.5000, 0.5000)
Pb (0.0000, 0.5000, 0.5000)
Pb (0.5000, 0.0000, 0.5000)